Below is Li2MnCr3O8 after structural relaxation, with properties calculated at the PBE+U level.

Values from the calculation:
Energy above the most stable polymorph in this dataset: 0.057 eV/atom
Electronic total energy: -197.405 eV per cell
Total magnetization: 22.00 Bohr magnetons per cell

```
data_Li2MnCr3O8
_chemical_formula_sum 'Li4 Mn2 Cr6 O16'
_cell_length_a 10.221
_cell_length_b 5.900
_cell_length_c 5.986
_cell_angle_alpha 90.00
_cell_angle_beta 124.73
_cell_angle_gamma 90.00
_symmetry_space_group_name_H-M 'C 1 2/m 1'
_symmetry_Int_Tables_number 12
_symmetry_space_group_name_Hall '-C 2y'
loop_
_atom_site_label
_atom_site_fract_x
_atom_site_fract_y
_atom_site_fract_z
Li1 0.250 0.250 0.000
Mn1 0.000 0.000 0.500
Cr1 0.000 0.500 0.500
Cr2 0.250 0.250 0.500
O1 0.009 0.249 0.296
O2 0.229 0.500 0.710
O3 0.230 0.000 0.711
```